No. 1
A relaxed ReTc2Ru crystal, computed with PBE-GGA.

Computed properties:
N(E_F)	0.9646	states/eV per atom
symmetry	No. 99
total energy	-10.272	eV per atom
calculated volume	14.9	Å³/atom
energy of formation from the pure elements	0.342	eV/atom
energy above the most stable polymorph in this dataset	1.51	eV/f.u.

a b c (Å): 3.211 3.211 5.769
angles (deg): 90.00 90.00 90.00
Fractional coordinates of all 4 atoms:
1 Re 0.000 0.000 0.000
2 Tc 0.000 0.000 0.525
3 Tc 0.500 0.500 0.790
4 Ru 0.500 0.500 0.270

No. 2
A relaxed Re2TcRu crystal, computed with PBE-GGA.

Computed properties:
N(E_F)	0.9254	states/eV per atom
symmetry	No. 123
total energy	-11.088	eV per atom
calculated volume	14.6	Å³/atom
energy of formation from the pure elements	0.046	eV/atom
energy above the most stable polymorph in this dataset	0.04	eV/f.u.

a b c (Å): 2.743 2.743 7.775
angles (deg): 90.00 90.00 90.00
Fractional coordinates of all 4 atoms:
1 Re 0.000 0.000 0.249
2 Re 0.000 0.000 0.751
3 Tc 0.500 0.500 0.500
4 Ru 0.500 0.500 0.000

No. 3
A relaxed ReTc2Ru5 crystal, computed with PBE-GGA.

Computed properties:
N(E_F)	0.8806	states/eV per atom
symmetry	No. 139
total energy	-9.895	eV per atom
calculated volume	14.2	Å³/atom
energy of formation from the pure elements	0.050	eV/atom

a b c (Å): 5.445 5.445 7.673
angles (deg): 90.00 90.00 90.00
Fractional coordinates of all 16 atoms:
1 Re 0.000 0.000 0.000
2 Re 0.500 0.500 0.500
3 Tc 0.000 0.500 0.000
4 Tc 0.000 0.500 0.500
5 Tc 0.500 0.000 0.000
6 Tc 0.500 0.000 0.500
7 Ru 0.000 0.000 0.500
8 Ru 0.250 0.250 0.250
9 Ru 0.250 0.250 0.750
10 Ru 0.250 0.750 0.250
11 Ru 0.250 0.750 0.750
12 Ru 0.500 0.500 0.000
13 Ru 0.750 0.250 0.250
14 Ru 0.750 0.250 0.750
15 Ru 0.750 0.750 0.250
16 Ru 0.750 0.750 0.750

No. 4
A relaxed ReTcRu2 crystal, computed with PBE-GGA.

Computed properties:
N(E_F)	1.0027	states/eV per atom
symmetry	No. 166
total energy	-10.280	eV per atom
calculated volume	14.4	Å³/atom
energy of formation from the pure elements	0.062	eV/atom
energy above the most stable polymorph in this dataset	0.56	eV/f.u.

a b c (Å): 2.725 2.725 26.812
angles (deg): 90.00 90.00 120.00
Fractional coordinates of all 12 atoms:
1 Re 0.000 0.000 0.000
2 Re 0.333 0.667 0.667
3 Re 0.667 0.333 0.333
4 Tc 0.000 0.000 0.500
5 Tc 0.333 0.667 0.167
6 Tc 0.667 0.333 0.833
7 Ru 0.000 0.000 0.250
8 Ru 0.000 0.000 0.750
9 Ru 0.333 0.667 0.417
10 Ru 0.333 0.667 0.916
11 Ru 0.667 0.333 0.084
12 Ru 0.667 0.333 0.583

No. 5
A relaxed ReTc2Ru crystal, computed with PBE-GGA.

Computed properties:
N(E_F)	1.2108	states/eV per atom
symmetry	No. 123
total energy	-10.288	eV per atom
calculated volume	14.8	Å³/atom
energy of formation from the pure elements	0.326	eV/atom
energy above the most stable polymorph in this dataset	1.44	eV/f.u.

a b c (Å): 3.199 3.199 5.767
angles (deg): 90.00 90.00 90.00
Fractional coordinates of all 4 atoms:
1 Re 0.000 0.000 0.000
2 Tc 0.500 0.500 0.245
3 Tc 0.500 0.500 0.755
4 Ru 0.000 0.000 0.500

No. 6
A relaxed Re2TcRu crystal, computed with PBE-GGA.

Computed properties:
N(E_F)	1.0118	states/eV per atom
symmetry	No. 8
total energy	-11.082	eV per atom
calculated volume	14.6	Å³/atom
energy of formation from the pure elements	0.053	eV/atom
energy above the most stable polymorph in this dataset	0.07	eV/f.u.

a b c (Å): 9.101 2.744 4.767
angles (deg): 90.00 100.23 90.00
Fractional coordinates of all 8 atoms:
1 Re 0.000 0.000 0.000
2 Re 0.247 0.500 0.259
3 Re 0.500 0.500 0.000
4 Re 0.747 0.000 0.259
5 Tc 0.003 0.500 0.506
6 Tc 0.503 0.000 0.506
7 Ru 0.248 0.000 0.758
8 Ru 0.748 0.500 0.758